This record from the Alexandria database describes HoIO after structural relaxation. The functional is PBE.

extended XYZ file:
```
6
Lattice="1.958 1.130 11.423 -1.958 1.130 11.423 0.000 -2.261 11.423" Properties=species:S:1:pos:R:3 pbc="T T T"
Ho 0.000 0.000 4.319
Ho 0.000 0.000 29.951
I 0.000 0.000 13.569
I 0.000 0.000 20.701
O 0.000 0.000 6.565
O 0.000 0.000 27.705
```

- DFT total energy (eV/atom) = -6.36

This record from the Alexandria database describes YPIO2 after structural relaxation. The functional is PBE.

extended XYZ file:
```
5
Lattice="4.258 0.000 0.000 0.000 4.258 0.000 0.000 0.000 6.387" Properties=species:S:1:pos:R:3 pbc="T T T"
Y 0.000 0.000 0.000
P 0.000 0.000 3.194
I 2.129 2.129 3.194
O 0.000 2.129 0.000
O 2.129 0.000 0.000
```

- DFT total energy (eV/atom) = -5.48

This record from the Alexandria database describes YSc3Tc after structural relaxation. The functional is PBE.

extended XYZ file:
```
5
Lattice="5.000 0.000 0.000 0.000 5.000 0.000 0.000 0.000 5.000" Properties=species:S:1:pos:R:3 pbc="T T T"
Y 0.000 0.000 0.000
Sc 0.000 0.000 2.500
Sc 0.000 2.500 0.000
Sc 2.500 0.000 0.000
Tc 2.500 2.500 2.500
```

- DFT total energy (eV/atom) = -5.63

This record from the Alexandria database describes NbVPtRh after structural relaxation. The functional is PBE.

extended XYZ file:
```
4
Lattice="3.876 0.000 0.000 0.000 3.946 0.000 0.000 0.000 3.964" Properties=species:S:1:pos:R:3 pbc="T T T"
Nb 0.000 0.000 0.000
V 1.938 0.000 1.982
Pt 0.000 1.973 1.982
Rh 1.938 1.973 0.000
```

- DFT total energy (eV/atom) = -8.67

This record from the Alexandria database describes KThAgTe4 after structural relaxation. The functional is PBE.

extended XYZ file:
```
14
Lattice="3.156 -9.582 0.000 3.156 9.582 0.000 0.000 0.000 7.542" Properties=species:S:1:pos:R:3 pbc="T T T"
K 3.156 7.850 5.656
K 3.156 -7.850 1.885
Th 3.156 2.579 5.656
Th 3.156 -2.579 1.885
Ag 3.156 3.231 1.885
Ag 3.156 -3.231 5.656
Te 1.578 4.791 0.000
Te 1.578 4.791 3.771
Te 3.156 7.790 1.885
Te 3.156 0.561 1.885
Te 1.578 -4.791 0.000
Te 1.578 -4.791 3.771
Te 3.156 -0.561 5.656
Te 3.156 -7.790 5.656
```

- DFT total energy (eV/atom) = -4.01

This record from the Alexandria database describes Dy6ScIn5 after structural relaxation. The functional is PBE.

extended XYZ file:
```
12
Lattice="2.636 -8.002 0.000 2.636 8.002 0.000 0.000 0.000 7.634" Properties=species:S:1:pos:R:3 pbc="T T T"
Dy 0.000 0.000 1.818
Dy 0.000 0.000 5.816
Dy 2.636 2.722 1.933
Dy 2.636 2.722 5.700
Dy 2.636 -2.722 1.933
Dy 2.636 -2.722 5.700
Sc 2.636 0.000 3.817
In 2.636 5.559 3.817
In 2.636 5.304 0.000
In 2.636 0.000 0.000
In 2.636 -5.304 0.000
In 2.636 -5.559 3.817
```

- DFT total energy (eV/atom) = -4.36

This record from the Alexandria database describes K3Cd2Ag7 after structural relaxation. The functional is PBE.

extended XYZ file:
```
12
Lattice="2.992 1.727 9.530 -2.992 1.727 9.530 0.000 -3.455 9.530" Properties=species:S:1:pos:R:3 pbc="T T T"
K 0.000 0.000 0.000
K 0.000 0.000 4.071
K 0.000 0.000 24.519
Cd 0.000 0.000 9.483
Cd 0.000 0.000 19.107
Ag -1.481 -0.855 11.869
Ag 0.000 -1.710 16.720
Ag -1.481 0.855 16.720
Ag 0.000 0.000 14.295
Ag 1.481 -0.855 11.869
Ag 0.000 1.710 11.869
Ag 1.481 0.855 16.720
```

- DFT total energy (eV/atom) = -2.12

This record from the Alexandria database describes BeMoIr2 after structural relaxation. The functional is PBE.

extended XYZ file:
```
8
Lattice="-1.911 1.911 8.259 1.911 -1.911 8.259 1.911 1.911 -8.259" Properties=species:S:1:pos:R:3 pbc="T T T"
Be 0.000 0.000 0.000
Be 0.000 1.911 4.129
Mo 1.911 0.000 4.129
Mo 0.000 0.000 8.259
Ir 2.867 0.843 -2.065
Ir 0.843 0.956 2.065
Ir -0.956 1.069 6.194
Ir 1.069 0.956 10.323
```

- DFT total energy (eV/atom) = -7.79

This record from the Alexandria database describes Li15Cd4Pd after structural relaxation. The functional is PBE.

extended XYZ file:
```
20
Lattice="4.233 0.000 0.000 0.000 4.233 0.000 0.000 0.000 19.687" Properties=species:S:1:pos:R:3 pbc="T T T"
Li 0.000 0.000 0.000
Li 0.000 0.000 3.742
Li 0.000 0.000 7.811
Li 0.000 0.000 11.875
Li 0.000 0.000 15.945
Li 0.000 2.116 1.690
Li 0.000 2.116 5.774
Li 0.000 2.116 9.843
Li 0.000 2.116 13.913
Li 0.000 2.116 17.996
Li 2.116 0.000 1.690
Li 2.116 0.000 5.774
Li 2.116 0.000 9.843
Li 2.116 0.000 13.913
Li 2.116 0.000 17.996
Cd 2.116 2.116 3.696
Cd 2.116 2.116 7.816
Cd 2.116 2.116 11.871
Cd 2.116 2.116 15.990
Pd 2.116 2.116 0.000
```

- DFT total energy (eV/atom) = -2.06

This record from the Alexandria database describes YMg2BPb after structural relaxation. The functional is PBE.

extended XYZ file:
```
5
Lattice="4.638 0.000 0.000 0.000 4.638 0.000 0.000 0.000 5.098" Properties=species:S:1:pos:R:3 pbc="T T T"
Y 0.000 0.000 0.000
Mg 0.000 2.319 2.549
Mg 2.319 0.000 2.549
B 0.000 0.000 2.549
Pb 2.319 2.319 0.000
```

- DFT total energy (eV/atom) = -4.11

This record from the Alexandria database describes PmHfCoRh after structural relaxation. The functional is PBE.

extended XYZ file:
```
4
Lattice="0.000 3.342 3.342 3.342 0.000 3.342 3.342 3.342 0.000" Properties=species:S:1:pos:R:3 pbc="T T T"
Pm 0.000 0.000 0.000
Hf 3.342 3.342 3.342
Co 5.013 5.013 5.013
Rh 1.671 1.671 1.671
```

- DFT total energy (eV/atom) = -7.65

This record from the Alexandria database describes Tb3TmTl2S after structural relaxation. The functional is PBE.

extended XYZ file:
```
7
Lattice="-2.507 2.541 8.006 2.507 -2.541 8.006 2.507 2.541 -8.006" Properties=species:S:1:pos:R:3 pbc="T T T"
Tb 0.000 0.000 0.000
Tb 2.507 0.000 5.250
Tb 0.000 2.541 2.757
Tm 0.000 0.000 8.006
Tl 2.507 0.000 2.122
Tl 0.000 2.541 5.884
S 0.000 2.541 0.000
```

- DFT total energy (eV/atom) = -4.55

This record from the Alexandria database describes RbTaGeTe after structural relaxation. The functional is PBE.

extended XYZ file:
```
4
Lattice="3.939 0.000 0.000 -1.970 3.412 0.000 0.000 0.000 8.567" Properties=species:S:1:pos:R:3 pbc="T T T"
Rb 0.000 0.000 0.000
Ta 0.000 2.274 4.669
Ge 1.970 1.137 5.935
Te 1.970 1.137 2.840
```

- DFT total energy (eV/atom) = -5.25

This record from the Alexandria database describes CrAgPb after structural relaxation. The functional is PBE.

extended XYZ file:
```
3
Lattice="4.856 0.000 0.000 -2.428 4.206 0.000 0.000 0.000 3.165" Properties=species:S:1:pos:R:3 pbc="T T T"
Cr 0.000 0.000 0.000
Ag 0.000 2.804 1.819
Pb 2.428 1.402 1.375
```

- DFT total energy (eV/atom) = -4.89

This record from the Alexandria database describes La2Nd3Mg after structural relaxation. The functional is PBE.

extended XYZ file:
```
6
Lattice="-3.170 5.188 3.092 3.170 -5.188 3.092 3.170 5.188 -3.092" Properties=species:S:1:pos:R:3 pbc="T T T"
La 0.000 1.715 0.000
La 0.000 8.662 0.000
Nd 3.170 1.576 0.721
Nd 0.000 0.000 3.036
Nd 0.000 3.613 3.813
Mg 0.000 5.188 0.888
```

- DFT total energy (eV/atom) = -4.02

This record from the Alexandria database describes Ca4MgCd5 after structural relaxation. The functional is PBE.

extended XYZ file:
```
10
Lattice="3.752 0.000 0.000 0.000 3.752 0.000 0.000 0.000 19.119" Properties=species:S:1:pos:R:3 pbc="T T T"
Ca 0.000 0.000 1.982
Ca 0.000 0.000 5.933
Ca 0.000 0.000 13.186
Ca 0.000 0.000 17.137
Mg 0.000 0.000 9.560
Cd 1.876 1.876 0.000
Cd 1.876 1.876 3.964
Cd 1.876 1.876 7.936
Cd 1.876 1.876 11.183
Cd 1.876 1.876 15.156
```

- DFT total energy (eV/atom) = -1.72

This record from the Alexandria database describes CoIr2Cl after structural relaxation. The functional is PBE.

extended XYZ file:
```
4
Lattice="4.249 -1.390 0.000 4.249 1.390 0.000 -0.133 0.000 6.295" Properties=species:S:1:pos:R:3 pbc="T T T"
Co 0.000 0.000 0.000
Ir 2.220 0.000 5.147
Ir 4.534 0.000 4.203
Cl 4.230 0.000 1.836
```

- DFT total energy (eV/atom) = -6.26

This record from the Alexandria database describes Tb2Er2Tl after structural relaxation. The functional is PBE.

extended XYZ file:
```
10
Lattice="8.186 0.000 0.000 0.000 8.186 0.000 0.000 0.000 4.640" Properties=species:S:1:pos:R:3 pbc="T T T"
Tb 1.219 2.874 0.000
Tb 2.874 6.967 0.000
Tb 5.312 1.219 0.000
Tb 6.967 5.312 0.000
Er 1.230 5.323 2.320
Er 2.863 1.230 2.320
Er 5.323 6.956 2.320
Er 6.956 2.863 2.320
Tl 0.000 0.000 0.000
Tl 4.093 4.093 0.000
```

- DFT total energy (eV/atom) = -4.08

This record from the Alexandria database describes SrZrSb2P after structural relaxation. The functional is PBE.

extended XYZ file:
```
5
Lattice="5.731 0.000 0.000 0.000 5.731 0.000 0.000 0.000 5.157" Properties=species:S:1:pos:R:3 pbc="T T T"
Sr 0.000 0.000 0.000
Zr 2.865 2.865 2.579
Sb 0.000 2.865 0.000
Sb 2.865 0.000 0.000
P 0.000 0.000 2.579
```

- DFT total energy (eV/atom) = -3.63

This record from the Alexandria database describes K2CoRh after structural relaxation. The functional is PBE.

extended XYZ file:
```
4
Lattice="3.543 -2.045 0.000 3.543 2.045 0.000 -2.112 0.000 9.245" Properties=species:S:1:pos:R:3 pbc="T T T"
K 0.000 0.000 0.000
K 0.004 0.000 4.826
Co 2.364 0.000 2.411
Rh 4.725 0.000 2.411
```

- DFT total energy (eV/atom) = -3.71